No. 1
A plane-wave DFT calculation with PBE was carried out for an optimized crystal structure of CeSc2.

POSCAR file:
```
CeSc2
1.0
6.269 0.000 0.000
3.134 5.429 0.000
3.134 1.810 5.118
Sc Ce
4 2
Cartesian
4.701 4.524 3.199
6.269 1.810 3.199
7.836 4.524 3.199
6.269 3.619 0.640
0.000 0.000 0.000
3.134 1.810 1.280
```

Values from the calculation:
Energy of formation from the pure elements in eV/atom: 0.302
Crystal system: cubic

No. 2
A plane-wave DFT calculation with PBE was carried out for an optimized crystal structure of Ce6Sc.

POSCAR file:
```
Ce6Sc
1.0
6.554 0.000 0.000
-2.185 6.179 0.000
-2.185 -3.090 5.351
Ce Sc
6 1
Cartesian
-1.092 3.090 2.676
1.092 3.862 1.338
-1.092 0.772 4.014
3.277 0.000 2.676
1.092 -0.772 4.014
3.277 2.317 1.338
0.000 0.000 0.000
```

Values from the calculation:
Energy of formation from the pure elements in eV/atom: 0.777
Crystal system: cubic

No. 3
A plane-wave DFT calculation with PBE was carried out for an optimized crystal structure of CeSc8.

POSCAR file:
```
CeSc8
1.0
-1.499 0.884 4.361
-6.311 -3.520 1.072
2.722 -5.077 4.492
Ce Sc
1 8
Cartesian
0.000 0.000 0.000
0.404 -1.392 2.949
0.819 -2.801 5.905
-5.212 -1.761 3.621
-3.300 -4.039 2.212
-2.893 -5.437 5.163
-2.196 -2.276 4.762
-0.289 -4.558 3.352
-2.598 -0.874 1.812
```

Values from the calculation:
Energy of formation from the pure elements in eV/atom: 0.059
Crystal system: tetragonal

Number 1: raw total energy -5.897 eV per atom. Number 2: raw total energy -5.213 eV per atom. Number 3: raw total energy -6.228 eV per atom.